1.
An optimized crystal structure of Pm5MgSi3. Source: Alexandria, functional PBE.

Cell: 9.0767 9.0767 6.3428 Å, 90.00 90.00 120.00°
Element x y z (fractional)
Pm (0.0000, 0.3038, 0.2500)
Pm (0.0000, 0.6962, 0.7500)
Pm (0.3038, 0.0000, 0.2500)
Pm (0.3038, 0.3038, 0.7500)
Pm (0.3333, 0.6667, 0.0000)
Pm (0.3333, 0.6667, 0.5000)
Pm (0.6667, 0.3333, 0.0000)
Pm (0.6667, 0.3333, 0.5000)
Pm (0.6962, 0.0000, 0.7500)
Pm (0.6962, 0.6962, 0.2500)
Mg (0.0000, 0.0000, 0.0000)
Mg (0.0000, 0.0000, 0.5000)
Si (0.0000, 0.3574, 0.7500)
Si (0.0000, 0.6426, 0.2500)
Si (0.3574, 0.0000, 0.7500)
Si (0.3574, 0.3574, 0.2500)
Si (0.6426, 0.0000, 0.2500)
Si (0.6426, 0.6426, 0.7500)

E_form (uncorrected) ... -0.46 eV per atom
E ... -5.0850 eV/atom
DOS at the Fermi energy ... 7.78 states/eV/f.u.

2.
An optimized crystal structure of Pm5Pr5Sb6. Source: Alexandria, functional PBE.

Cell: 6.5309 9.3288 9.3288 Å, 119.83 90.00 90.00°
Element x y z (fractional)
Pm (0.0000, 0.0000, 0.0000)
Pm (0.2499, 0.5845, 0.9185)
Pm (0.2499, 0.9185, 0.5845)
Pm (0.7501, 0.5845, 0.9185)
Pm (0.7501, 0.9185, 0.5845)
Pr (0.0000, 0.2520, 0.5016)
Pr (0.0000, 0.5016, 0.2520)
Pr (0.5000, 0.0024, 0.2514)
Pr (0.5000, 0.2514, 0.0024)
Pr (0.5000, 0.5032, 0.5032)
Sb (0.0000, 0.2499, 0.8639)
Sb (0.0000, 0.6421, 0.6421)
Sb (0.0000, 0.8639, 0.2499)
Sb (0.5000, 0.2515, 0.6404)
Sb (0.5000, 0.6404, 0.2515)
Sb (0.5000, 0.8631, 0.8631)

E_form (uncorrected) ... -0.97 eV per atom
E ... -5.4967 eV/atom
DOS at the Fermi energy ... 18.90 states/eV/f.u.

3.
An optimized crystal structure of CaGa2Cl6. Source: Alexandria, functional PBE.

Cell: 8.8381 8.8381 8.3751 Å, 106.74 106.74 87.32°
Element x y z (fractional)
Ca (0.0748, 0.9252, 0.7500)
Ca (0.9252, 0.0748, 0.2500)
Ga (0.2268, 0.4107, 0.7565)
Ga (0.4107, 0.2268, 0.2565)
Ga (0.5893, 0.7732, 0.7435)
Ga (0.7732, 0.5893, 0.2435)
Cl (0.0191, 0.1951, 0.6250)
Cl (0.0543, 0.6263, 0.7696)
Cl (0.1951, 0.0191, 0.1250)
Cl (0.3507, 0.3586, 0.0317)
Cl (0.3586, 0.3507, 0.5317)
Cl (0.3737, 0.9457, 0.7304)
Cl (0.6263, 0.0543, 0.2696)
Cl (0.6414, 0.6493, 0.4683)
Cl (0.6493, 0.6414, 0.9683)
Cl (0.8049, 0.9809, 0.8750)
Cl (0.9457, 0.3737, 0.2304)
Cl (0.9809, 0.8049, 0.3750)

Polymorph energy (0 for the lowest one) ... 79 meV/atom
E_form (uncorrected) ... -1.32 eV per atom
E ... -3.4492 eV/atom
DOS at the Fermi energy ... 3.04 states/eV/f.u.

4.
An optimized crystal structure of CeMg2Pd. Source: Alexandria, functional PBE.

Cell: 4.7955 4.7955 14.0544 Å, 90.00 90.00 120.00°
Element x y z (fractional)
Ce (0.0000, 0.0000, 0.0000)
Ce (0.3333, 0.6667, 0.6667)
Ce (0.6667, 0.3333, 0.3333)
Mg (0.0000, 0.0000, 0.5288)
Mg (0.0000, 0.0000, 0.7803)
Mg (0.3333, 0.6667, 0.1955)
Mg (0.3333, 0.6667, 0.4470)
Mg (0.6667, 0.3333, 0.1136)
Mg (0.6667, 0.3333, 0.8622)
Pd (0.0000, 0.0000, 0.2014)
Pd (0.3333, 0.6667, 0.8681)
Pd (0.6667, 0.3333, 0.5347)

E_form ... -296.0 meV/atom
E ... -3.8750 eV/atom
DOS at the Fermi energy ... 8.09 states/eV/f.u.

5.
An optimized crystal structure of HRu2W. Source: Alexandria, functional PBE.

Cell: 5.9172 5.9172 5.9172 Å, 90.00 90.00 90.00°
Element x y z (fractional)
H (0.0000, 0.0000, 0.0000)
H (0.0000, 0.5000, 0.5000)
H (0.5000, 0.0000, 0.5000)
H (0.5000, 0.5000, 0.0000)
Ru (0.2500, 0.2500, 0.2500)
Ru (0.2500, 0.2500, 0.7500)
Ru (0.2500, 0.7500, 0.2500)
Ru (0.2500, 0.7500, 0.7500)
Ru (0.7500, 0.2500, 0.2500)
Ru (0.7500, 0.2500, 0.7500)
Ru (0.7500, 0.7500, 0.2500)
Ru (0.7500, 0.7500, 0.7500)
W (0.0000, 0.0000, 0.5000)
W (0.0000, 0.5000, 0.0000)
W (0.5000, 0.0000, 0.0000)
W (0.5000, 0.5000, 0.5000)

Polymorph energy (0 for the lowest one) ... 475 meV/atom
E ... -8.1904 eV/atom
DOS at the Fermi energy ... 2.66 states/eV/f.u.

6.
An optimized crystal structure of TlV3Te. Source: Alexandria, functional PBE.

Cell: 4.9593 4.9593 4.9593 Å, 90.00 90.00 90.00°
Element x y z (fractional)
Tl (0.0000, 0.0000, 0.0000)
V (0.0000, 0.5000, 0.5000)
V (0.5000, 0.0000, 0.5000)
V (0.5000, 0.5000, 0.0000)
Te (0.5000, 0.5000, 0.5000)

Polymorph energy (0 for the lowest one) ... 0 meV/atom
E_form (uncorrected) ... 1.14 eV per atom
E ... -5.4313 eV/atom
DOS at the Fermi energy ... 9.33 states/eV/f.u.

7.
An optimized crystal structure of MgAgBAu2. Source: Alexandria, functional PBE.

Cell: 4.9602 4.9602 4.3211 Å, 90.00 90.00 90.00°
Element x y z (fractional)
Mg (0.0000, 0.0000, 0.0000)
Ag (0.5000, 0.5000, 0.5000)
B (0.0000, 0.0000, 0.5000)
Au (0.0000, 0.5000, 0.0000)
Au (0.5000, 0.0000, 0.0000)

E_form ... 1077.4 meV/atom
E ... -2.4582 eV/atom
DOS at the Fermi energy ... 2.47 states/eV/f.u.

8.
An optimized crystal structure of BaCoSi8Ni2. Source: Alexandria, functional PBE.

Cell: 8.1436 8.1436 8.1436 Å, 39.26 39.26 39.26°
Element x y z (fractional)
Ba (0.0000, 0.0000, 0.0000)
Co (0.5000, 0.5000, 0.5000)
Si (0.0765, 0.4486, 0.8392)
Si (0.1608, 0.9235, 0.5514)
Si (0.3918, 0.3918, 0.3918)
Si (0.4486, 0.8392, 0.0765)
Si (0.5514, 0.1608, 0.9235)
Si (0.6082, 0.6082, 0.6082)
Si (0.8392, 0.0765, 0.4486)
Si (0.9235, 0.5514, 0.1608)
Ni (0.2801, 0.2801, 0.2801)
Ni (0.7199, 0.7199, 0.7199)

E_form (uncorrected) ... -0.05 eV per atom
E ... -5.3848 eV/atom
DOS at the Fermi energy ... 5.73 states/eV/f.u.

Number 1: spin magnetization 0.00 μB per atom. Number 2: spin magnetization 0.07 μB per atom. Number 3: spin magnetization 0.00 μB per atom. Number 4: spin magnetization 0.23 μB per atom. Number 5: spin magnetization 0.00 μB per atom. Number 6: spin magnetization 1.40 μB per atom. Number 7: spin magnetization 0.00 μB per atom. Number 8: spin magnetization 0.00 μB per atom.